Entry 1:
Compound: ZnCrRh2
Source: Alexandria via LeMat-Bulk
Functional: GGA-PBE
Structure: relaxed Values from VASP.

Structure (Quantum ESPRESSO input):
```
&SYSTEM
  ibrav = 0, nat = 4, ntyp = 3
/
ATOMIC_SPECIES
Cr 52.00 Cr.upf
Zn 65.41 Zn.upf
Rh 102.91 Rh.upf
CELL_PARAMETERS angstrom
-1.163 2.345 0.354
0.073 -1.579 2.116
7.709 3.472 2.325
ATOMIC_POSITIONS crystal
Cr 0.500 0.500 0.753
Zn 0.000 0.000 0.503
Rh 0.000 0.000 0.987
Rh 0.500 0.500 0.257
```

Space-group type ... Cmm2 (35)
Total DFT energy (no corrections) ... -6.27 eV/atom
Magnetization ... 0.0 μB/cell
Calculated volume ... 55.1 Å³/f.u.
DOS at the Fermi energy ... 4.03 states/eV per cell

---

Entry 2:
Compound: Zn3CrRh
Source: Alexandria via LeMat-Bulk
Functional: GGA-PBE
Structure: relaxed Values from VASP.

Structure (Quantum ESPRESSO input):
```
&SYSTEM
  ibrav = 0, nat = 5, ntyp = 3
/
ATOMIC_SPECIES
Cr 52.00 Cr.upf
Zn 65.41 Zn.upf
Rh 102.91 Rh.upf
CELL_PARAMETERS angstrom
-1.312 -2.152 3.992
3.405 -3.212 -0.612
2.995 2.709 2.445
ATOMIC_POSITIONS crystal
Cr 0.500 0.500 0.500
Zn 0.000 0.500 0.000
Zn 0.000 0.000 0.500
Zn 0.500 0.000 0.000
Rh 0.000 0.000 0.000
```

Space-group type ... Pm-3m (221)
Total DFT energy (no corrections) ... -3.67 eV/atom
Magnetization ... 4.8 μB/cell
Calculated volume ... 105.2 Å³/f.u.
DOS at the Fermi energy ... 2.35 states/eV per cell

---

Entry 3:
Compound: Zn5CrRh6
Source: Alexandria via LeMat-Bulk
Functional: GGA-PBE
Structure: relaxed Values from VASP.

Structure (Quantum ESPRESSO input):
```
&SYSTEM
  ibrav = 0, nat = 12, ntyp = 3
/
ATOMIC_SPECIES
Zn 65.41 Zn.upf
Rh 102.91 Rh.upf
Cr 52.00 Cr.upf
CELL_PARAMETERS angstrom
4.041 -0.024 1.347
0.033 6.070 0.011
0.003 -0.012 6.727
ATOMIC_POSITIONS crystal
Zn 0.333 0.000 0.334
Zn 0.667 0.000 0.666
Zn 0.333 0.500 0.334
Zn 0.000 0.500 0.000
Zn 0.667 0.500 0.666
Rh 0.836 0.752 0.329
Rh 0.500 0.753 0.000
Rh 0.500 0.247 0.000
Rh 0.836 0.248 0.329
Rh 0.164 0.752 0.671
Rh 0.164 0.248 0.671
Cr 0.000 0.000 0.000
```

Space-group type ... Cmmm (65)
Total DFT energy (no corrections) ... -5.35 eV/atom
Magnetization ... 1.9 μB/cell
Calculated volume ... 165.0 Å³/f.u.
DOS at the Fermi energy ... 10.81 states/eV per cell

---

Entry 4:
Compound: ZnCrRh2
Source: Alexandria via LeMat-Bulk
Functional: GGA-PBE
Structure: relaxed Values from VASP.

Structure (Quantum ESPRESSO input):
```
&SYSTEM
  ibrav = 0, nat = 4, ntyp = 3
/
ATOMIC_SPECIES
Cr 52.00 Cr.upf
Rh 102.91 Rh.upf
Zn 65.41 Zn.upf
CELL_PARAMETERS angstrom
-5.071 6.345 2.670
-4.564 5.151 5.074
-2.808 6.981 4.061
ATOMIC_POSITIONS crystal
Cr 0.750 0.750 0.750
Rh 0.004 0.004 0.004
Rh 0.496 0.496 0.496
Zn 0.250 0.250 0.250
```

Space-group type ... R-3m (166)
Total DFT energy (no corrections) ... -6.54 eV/atom
Magnetization ... 0.0 μB/cell
Calculated volume ... 54.3 Å³/f.u.
DOS at the Fermi energy ... 4.81 states/eV per cell

---

Entry 5:
Compound: ZnCrRh2
Source: Alexandria via LeMat-Bulk
Functional: GGA-PBE
Structure: relaxed Values from VASP.

Structure (Quantum ESPRESSO input):
```
&SYSTEM
  ibrav = 0, nat = 4, ntyp = 3
/
ATOMIC_SPECIES
Cr 52.00 Cr.upf
Rh 102.91 Rh.upf
Zn 65.41 Zn.upf
CELL_PARAMETERS angstrom
2.659 -0.018 0.000
-1.156 2.395 0.000
0.000 0.000 8.641
ATOMIC_POSITIONS crystal
Cr 0.500 0.500 0.750
Rh 0.000 0.000 0.993
Rh 0.000 0.000 0.507
Zn 0.500 0.500 0.250
```

Space-group type ... Cmmm (65)
Total DFT energy (no corrections) ... -6.38 eV/atom
Magnetization ... 0.3 μB/cell
Calculated volume ... 54.9 Å³/f.u.
DOS at the Fermi energy ... 3.99 states/eV per cell

---

Entry 6:
Compound: ZnCrRh6
Source: Alexandria via LeMat-Bulk
Functional: GGA-PBE
Structure: relaxed Values from VASP.

Structure (Quantum ESPRESSO input):
```
&SYSTEM
  ibrav = 0, nat = 8, ntyp = 3
/
ATOMIC_SPECIES
Rh 102.91 Rh.upf
Cr 52.00 Cr.upf
Zn 65.41 Zn.upf
CELL_PARAMETERS angstrom
3.804 0.000 0.000
0.000 3.804 0.000
0.000 0.000 7.669
ATOMIC_POSITIONS crystal
Rh 0.500 0.000 0.258
Rh 0.500 0.500 0.000
Rh 0.000 0.500 0.742
Rh 0.000 0.500 0.258
Rh 0.500 0.000 0.742
Rh 0.500 0.500 0.500
Cr 0.000 0.000 0.500
Zn 0.000 0.000 0.000
```

Space-group type ... P4/mmm (123)
Total DFT energy (no corrections) ... -7.02 eV/atom
Magnetization ... 0.9 μB/cell
Calculated volume ... 111.0 Å³/f.u.
DOS at the Fermi energy ... 9.01 states/eV per cell

---

Entry 7:
Compound: ZnCrRh2
Source: Alexandria via LeMat-Bulk
Functional: GGA-PBE
Structure: relaxed Values from VASP.

Structure (Quantum ESPRESSO input):
```
&SYSTEM
  ibrav = 0, nat = 4, ntyp = 3
/
ATOMIC_SPECIES
Zn 65.41 Zn.upf
Rh 102.91 Rh.upf
Cr 52.00 Cr.upf
CELL_PARAMETERS angstrom
4.326 0.000 0.000
2.163 3.747 0.000
2.163 1.249 3.532
ATOMIC_POSITIONS crystal
Zn 0.750 0.750 0.750
Rh 0.250 0.250 0.250
Rh 0.000 0.000 0.000
Cr 0.500 0.500 0.500
```

Space-group type ... F-43m (216)
Total DFT energy (no corrections) ... -6.32 eV/atom
Magnetization ... 2.5 μB/cell
Calculated volume ... 57.3 Å³/f.u.
DOS at the Fermi energy ... 4.94 states/eV per cell

---

Entry 8:
Compound: ZnCrRh2
Source: Alexandria via LeMat-Bulk
Functional: GGA-PBE
Structure: relaxed Values from VASP.

Structure (Quantum ESPRESSO input):
```
&SYSTEM
  ibrav = 0, nat = 4, ntyp = 3
/
ATOMIC_SPECIES
Rh 102.91 Rh.upf
Cr 52.00 Cr.upf
Zn 65.41 Zn.upf
CELL_PARAMETERS angstrom
-0.806 4.741 -0.159
-2.317 3.571 -2.244
-3.733 0.717 2.303
ATOMIC_POSITIONS crystal
Rh 0.752 0.752 0.696
Rh 0.995 0.995 0.057
Cr 0.253 0.253 0.198
Zn 0.500 0.500 0.548
```

Space-group type ... Cm (8)
Total DFT energy (no corrections) ... -6.53 eV/atom
Magnetization ... 2.1 μB/cell
Calculated volume ... 55.2 Å³/f.u.
DOS at the Fermi energy ... 3.96 states/eV per cell